1.
The following is a PBE calculation of a relaxed structure of NiBAu2, from the Alexandria database.

a b c (Å): 7.7374 7.7374 4.0786
angles (deg): 90.00 90.00 90.00
Element x y z (fractional)
Ni: 0.0000 0.0000 0.0000
Ni: 0.0000 0.5000 0.2500
Ni: 0.5000 0.0000 0.7500
Ni: 0.5000 0.5000 0.5000
B: 0.0000 0.0000 0.5000
B: 0.0000 0.5000 0.7500
B: 0.5000 0.0000 0.2500
B: 0.5000 0.5000 0.0000
Au: 0.1204 0.7500 0.6250
Au: 0.2500 0.1204 0.3750
Au: 0.2500 0.3796 0.8750
Au: 0.3796 0.7500 0.1250
Au: 0.6204 0.2500 0.1250
Au: 0.7500 0.6204 0.8750
Au: 0.7500 0.8796 0.3750
Au: 0.8796 0.2500 0.6250

Results
Energy of formation from the pure elements = 0.4161 eV/atom
Energy = -4.34 eV per atom
Symmetry = I-42d
Crystal system = tetragonal

2.
The following is a PBE calculation of a relaxed structure of NpGa2I8, from the Alexandria database.

a b c (Å): 8.9273 8.9273 7.4047
angles (deg): 98.29 98.29 77.20
Element x y z (fractional)
Np: 0.0000 0.0000 0.0000
Ga: 0.2042 0.2042 0.6674
Ga: 0.7958 0.7958 0.3326
I: 0.0842 0.7160 0.2275
I: 0.1930 0.1930 0.2947
I: 0.2840 0.9158 0.7725
I: 0.3843 0.3843 0.8300
I: 0.6157 0.6157 0.1700
I: 0.7160 0.0842 0.2275
I: 0.8070 0.8070 0.7053
I: 0.9158 0.2840 0.7725

Results
Energy = -3.40 eV per atom
Symmetry = C2/m
Crystal system = monoclinic